<A>
# Pm2CuGe

An optimized crystal structure of Pm2CuGe (PBE, Alexandria via LeMat-Bulk).

The structure belongs to space group Fm-3m (No. 225); the cell edges are 7.227, 7.227 and 7.227 Å and the angles 90.00°, 90.00° and 90.00°. The inequivalent atoms are Pm at (0.250, 0.250, 0.250), Cu at (0.000, 0.000, 0.000) and Ge at (0.000, 0.000, 0.500).

Its spin magnetization is 0.002 μB per cell.

=====

<B>
# Pm2CuGe

An optimized crystal structure of Pm2CuGe (PBE, Alexandria via LeMat-Bulk).

The structure belongs to space group P2_1/m (No. 11); the cell edges are 6.041, 4.238 and 8.118 Å and the angles 90.00°, 110.56° and 90.00°. The inequivalent atoms are Pm at (0.213, 0.250, 0.412), Pm at (0.221, 0.250, 0.944), Cu at (0.392, 0.750, 0.224) and Ge at (0.334, 0.750, 0.706).

Its spin magnetization is 0.002 μB per cell.

=====

What should be chosen as the most stable of them? Choose <B>.

=====

<A>
# Pm2CuGe3

An optimized crystal structure of Pm2CuGe3 (PBE, Alexandria via LeMat-Bulk).

The structure belongs to space group Fmmm (No. 69); the cell edges are 8.388, 8.405 and 14.478 Å and the angles 90.00°, 90.00° and 90.00°. The inequivalent atoms are Pm at (0.000, 0.242, 0.000), Pm at (0.250, 0.250, 0.250), Cu at (0.000, 0.000, 0.333), Ge at (0.000, 0.000, 0.171) and Ge at (0.240, 0.000, 0.414).

Its spin magnetization is 0.000 μB per cell.

=====

<B>
# Pm2CuGe3

An optimized crystal structure of Pm2CuGe3 (PBE, Alexandria via LeMat-Bulk).

The structure belongs to space group Pmm2 (No. 25); the cell edges are 4.188, 4.266 and 7.186 Å and the angles 90.00°, 90.00° and 90.00°. The inequivalent atoms are Pm at (0.000, 0.000, 0.000), Pm at (0.000, 0.500, 0.491), Cu at (0.500, 0.500, 0.819), Ge at (0.500, 0.000, 0.333), Ge at (0.500, 0.000, 0.679) and Ge at (0.500, 0.500, 0.148).

Its spin magnetization is 0.000 μB per cell.

=====

What should be chosen as the most stable of them? Choose <A>.

=====

<A>
# Pm2CuGe6

An optimized crystal structure of Pm2CuGe6 (PBE, Alexandria via LeMat-Bulk).

The structure belongs to space group Amm2 (No. 38); the cell edges are 4.155, 4.098 and 21.788 Å and the angles 90.00°, 90.00° and 90.00°. The inequivalent atoms are Pm at (0.000, 0.000, 0.000), Pm at (0.000, 0.000, 0.335), Cu at (0.500, 0.000, 0.556), Ge at (0.000, 0.000, 0.615), Ge at (0.000, 0.000, 0.730), Ge at (0.500, 0.000, 0.116), Ge at (0.500, 0.000, 0.231), Ge at (0.500, 0.000, 0.448) and Ge at (0.500, 0.000, 0.877).

Its spin magnetization is 0.000 μB per cell.

=====

<B>
# Pm2CuGe6

An optimized crystal structure of Pm2CuGe6 (PBE, Alexandria via LeMat-Bulk).

The structure belongs to space group Cm (No. 8); the cell edges are 12.666, 9.716 and 4.099 Å and the angles 90.00°, 108.71° and 90.00°. The inequivalent atoms are Pm at (0.000, 0.000, 0.000), Pm at (0.197, 0.500, 0.700), Cu at (0.455, 0.000, 0.455), Ge at (0.032, 0.271, 0.533), Ge at (0.169, 0.218, 0.169) and Ge at (0.347, 0.356, 0.348).

Its spin magnetization is 0.000 μB per cell.

=====

What should be chosen as the most stable of them? Choose <A>.

=====

<A>
# PmCu2Ge2

An optimized crystal structure of PmCu2Ge2 (PBE, Alexandria via LeMat-Bulk).

The structure belongs to space group P4/nmm (No. 129, origin choice 2); the cell edges are 4.180, 4.180 and 10.119 Å and the angles 90.00°, 90.00° and 90.00°. The inequivalent atoms are Pm at (0.250, 0.250, 0.246), Cu at (0.250, 0.250, 0.633), Cu at (0.250, 0.750, 0.000), Ge at (0.250, 0.250, 0.869) and Ge at (0.250, 0.750, 0.500).

Its spin magnetization is 0.000 μB per cell.

=====

<B>
# PmCu2Ge2

An optimized crystal structure of PmCu2Ge2 (PBE, Alexandria via LeMat-Bulk).

The structure belongs to space group I4/mmm (No. 139); the cell edges are 4.137, 4.137 and 10.290 Å and the angles 90.00°, 90.00° and 90.00°. The inequivalent atoms are Pm at (0.000, 0.000, 0.000), Cu at (0.000, 0.500, 0.250) and Ge at (0.000, 0.000, 0.378).

Its spin magnetization is 0.000 μB per cell.

=====

What should be chosen as the most stable of them? Choose <B>.

=====

<A>
# PmCu2Ge3

An optimized crystal structure of PmCu2Ge3 (PBE, Alexandria via LeMat-Bulk).

The structure belongs to space group Cmcm (No. 63); the cell edges are 9.767, 8.084 and 5.633 Å and the angles 90.00°, 90.00° and 90.00°. The inequivalent atoms are Pm at (0.000, 0.180, 0.250), Cu at (0.215, 0.500, 0.000), Ge at (0.000, 0.450, 0.750) and Ge at (0.145, 0.180, 0.750).

Its spin magnetization is 0.000 μB per cell.

=====

<B>
# PmCu2Ge3

An optimized crystal structure of PmCu2Ge3 (PBE, Alexandria via LeMat-Bulk).

The structure belongs to space group I4/mmm (No. 139); the cell edges are 4.168, 4.168 and 25.042 Å and the angles 90.00°, 90.00° and 90.00°. The inequivalent atoms are Pm at (0.000, 0.000, 0.150), Cu at (0.000, 0.000, 0.399), Cu at (0.000, 0.500, 0.250), Ge at (0.000, 0.000, 0.304) and Ge at (0.000, 0.500, 0.050).

Its spin magnetization is 0.000 μB per cell.

=====

What should be chosen as the most stable of them? Choose <B>.

=====

<A>
# Pm3Cu4Ge4

An optimized crystal structure of Pm3Cu4Ge4 (PBE, Alexandria via LeMat-Bulk).

The structure belongs to space group Immm (No. 71); the cell edges are 4.301, 6.731 and 14.264 Å and the angles 90.00°, 90.00° and 90.00°. The inequivalent atoms are Pm at (0.000, 0.000, 0.000), Pm at (0.000, 0.500, 0.132), Cu at (0.000, 0.314, 0.333), Ge at (0.000, 0.000, 0.217) and Ge at (0.000, 0.189, 0.500).

Its spin magnetization is 0.000 μB per cell.

=====

<B>
# Pm3Cu4Ge4

An optimized crystal structure of Pm3Cu4Ge4 (PBE, Alexandria via LeMat-Bulk).

The structure belongs to space group P-1 (No. 2); the cell edges are 4.170, 4.211 and 12.488 Å and the angles 99.64°, 99.61° and 90.03°. The inequivalent atoms are Pm at (0.000, 0.000, 0.000), Pm at (0.152, 0.652, 0.303), Cu at (0.251, 0.251, 0.500), Cu at (0.403, 0.904, 0.807), Ge at (0.305, 0.806, 0.611) and Ge at (0.447, 0.448, 0.896).

Its spin magnetization is 0.000 μB per cell.

=====

What should be chosen as the most stable of them? Choose <A>.

=====

<A>
# Pm2Cu5Ge3

An optimized crystal structure of Pm2Cu5Ge3 (PBE, Alexandria via LeMat-Bulk).

The structure belongs to space group P-4m2 (No. 115); the cell edges are 4.222, 4.222 and 10.106 Å and the angles 90.00°, 90.00° and 90.00°. The inequivalent atoms are Pm at (0.000, 0.500, 0.231), Cu at (0.000, 0.000, 0.000), Cu at (0.000, 0.000, 0.500), Cu at (0.000, 0.500, 0.881), Cu at (0.500, 0.500, 0.000), Ge at (0.000, 0.500, 0.649) and Ge at (0.500, 0.500, 0.500).

Its spin magnetization is 0.000 μB per cell.

=====

<B>
# Pm2Cu5Ge3

An optimized crystal structure of Pm2Cu5Ge3 (PBE, Alexandria via LeMat-Bulk).

The structure belongs to space group Ibam (No. 72); the cell edges are 9.917, 11.797 and 5.946 Å and the angles 90.00°, 90.00° and 90.00°. The inequivalent atoms are Pm at (0.245, 0.125, 0.000), Cu at (0.000, 0.261, 0.250), Cu at (0.000, 0.500, 0.250), Cu at (0.122, 0.127, 0.500), Ge at (0.000, 0.000, 0.250) and Ge at (0.139, 0.375, 0.000).

Its spin magnetization is 0.000 μB per cell.

=====

What should be chosen as the most stable of them? Choose <B>.

=====

<A>
# Pm3CuGe3

An optimized crystal structure of Pm3CuGe3 (PBE, Alexandria via LeMat-Bulk).

The structure belongs to space group Imm2 (No. 44); the cell edges are 4.113, 4.340 and 18.311 Å and the angles 90.00°, 90.00° and 90.00°. The inequivalent atoms are Pm at (0.000, 0.000, 0.000), Pm at (0.000, 0.000, 0.364), Pm at (0.000, 0.500, 0.683), Cu at (0.000, 0.500, 0.112), Ge at (0.000, 0.000, 0.540), Ge at (0.000, 0.000, 0.831) and Ge at (0.000, 0.500, 0.240).

Its spin magnetization is 0.000 μB per cell.

=====

<B>
# Pm3CuGe3

An optimized crystal structure of Pm3CuGe3 (PBE, Alexandria via LeMat-Bulk).

The structure belongs to space group P6_3/m (No. 176); the cell edges are 8.6581, 8.6581 and 5.9570 Å and the angles 90.00°, 90.00° and 120.00°. The inequivalent atoms are Pm at (0.0666, 0.6967, 0.2500), Cu at (0.3333, 0.6667, 0.7500) and Ge at (0.0668, 0.6955, 0.7500).

Its spin magnetization is 0.000 μB per cell.

=====

What should be chosen as the most stable of them? Choose <A>.